No. 1
Cs2PmPdO4 | GGA-PBE | relaxed

```
Cs2PmPdO4
1.0
-2.325 2.882 -4.891
3.015 -2.402 -6.696
-9.856 -7.048 -3.314
O Cs Pd Pm
8 4 2 2
Cartesian
-1.142 1.051 -4.447
-5.658 -2.852 -6.523
-4.023 -3.615 -4.226
1.261 -1.129 -7.197
-9.363 -6.759 -5.464
-9.089 -6.299 -12.694
-5.242 -2.832 -10.880
-3.411 -3.837 -8.172
-6.549 -3.819 -2.984
-8.472 -5.793 -9.004
-1.857 0.665 -8.343
-5.632 -0.347 -5.221
-1.163 1.441 -2.445
-4.002 -4.004 -6.228
-5.164 -2.564 -8.673
0.000 0.000 0.000
```

## Properties
**Calculated volume**: 529.9 Å³ per cell
**SG**: Fddd
**Crystal system**: orthorhombic
**Formation energy from raw total energies**: -1.35 eV per atom

No. 2
La8HoTm2 | GGA-PBE | relaxed

```
La8HoTm2
1.0
5.962 -0.599 -0.899
-1.842 9.332 -1.125
-1.842 -4.633 8.179
La Tm Ho
8 2 1
Cartesian
1.975 1.534 5.918
0.303 2.567 0.237
1.975 4.870 3.695
2.638 1.554 2.333
1.139 6.157 0.342
0.303 -0.770 2.460
-0.359 2.546 3.822
1.139 -2.056 5.813
-1.842 4.983 1.773
-1.842 -0.283 5.281
2.981 -0.300 -0.450
```

## Properties
**Formation energy**: 127 meV/atom
**Calculated volume**: 390.6 Å³ per cell
**SG**: C2/m
**Crystal system**: monoclinic

No. 3
SrLaCl2 | GGA-PBE | relaxed

```
SrLaCl2
1.0
5.623 0.000 0.000
2.811 4.869 0.000
2.811 1.623 4.591
Cl Sr La
2 1 1
Cartesian
2.811 1.623 1.148
0.000 0.000 0.000
8.434 4.869 3.443
5.623 3.246 2.295
```

## Properties
**Calculated volume**: 125.7 Å³ per cell
**SG**: F-43m
**Crystal system**: cubic
**Formation energy from raw total energies**: -0.56 eV per atom

No. 4
PuOsW | GGA-PBE | relaxed

```
PuOsW
1.0
-2.757 -4.873 0.811
2.051 -3.970 -4.429
3.302 -3.229 4.273
W Pu Os
4 4 4
Cartesian
-0.855 -7.626 -0.346
-0.229 -7.256 4.006
2.824 -4.816 -3.350
3.450 -4.445 1.001
3.257 -7.397 1.280
-0.662 -4.675 -0.625
0.581 -3.797 1.358
2.014 -8.275 -0.703
2.056 -5.441 -0.950
2.681 -5.071 3.401
0.539 -6.630 1.606
-0.086 -7.001 -2.746
```

## Properties
**Formation energy**: 309 meV/atom
**Calculated volume**: 205.4 Å³ per cell
**SG**: P2_1/m
**Crystal system**: monoclinic

No. 5
Y2NbReMo | GGA-PBE | relaxed

```
Y2NbReMo
1.0
-5.186 -0.054 -0.953
-0.814 -1.256 4.500
-0.304 5.084 1.364
Re Y Mo Nb
1 2 1 1
Cartesian
0.000 0.000 0.000
-2.593 -0.027 -0.476
-0.152 2.542 0.682
-0.407 -0.628 2.250
-3.152 1.887 2.456
```

## Properties
**Formation energy**: 1203 meV/atom
**Calculated volume**: 131.9 Å³ per cell
**SG**: P4/mmm
**Crystal system**: tetragonal

No. 6
Li5B8C8 | GGA-PBE | relaxed

```
Li5B8C8
1.0
4.693 0.000 0.006
0.000 5.438 0.000
0.008 0.000 7.262
C B Li
8 8 5
Cartesian
0.804 4.073 5.451
3.897 4.073 1.817
3.912 1.366 1.858
1.544 2.721 1.863
0.789 1.366 5.410
3.158 2.721 5.406
1.576 5.435 1.857
3.125 5.435 5.411
3.916 4.093 5.426
3.906 1.342 5.419
1.566 2.713 5.444
3.158 0.009 1.823
1.544 0.009 5.445
0.785 4.093 1.842
0.796 1.342 1.849
3.136 2.713 1.824
0.000 2.600 0.000
2.351 1.317 3.634
2.347 4.192 0.003
2.351 4.115 3.634
0.004 2.733 3.631
```

## Properties
**Formation energy**: -141 meV/atom
**Calculated volume**: 185.4 Å³ per cell
**SG**: P2
**Crystal system**: monoclinic